Below is crystalline TbDy7Cd2 at its relaxed geometry, with properties calculated at the PBE-GGA level.

abc: 5.252 9.034 9.034
angles: 120.67 90.00 90.00
Element x y z (fractional)
Cd  0.500  0.304  0.696
Dy  0.500  0.935  0.701
Cd  0.500  0.696  0.304
Dy  0.000  0.224  0.776
Dy  0.500  0.500  0.500
Dy  0.000  0.776  0.224
Dy  0.500  0.701  0.935
Dy  0.500  0.299  0.065
Dy  0.500  0.065  0.299
Tb  0.000  0.000  0.000

## Properties
D(E_F) (states/eV/cell): 21.7
Symmetry: No. 65
Formation energy from the elements (meV/atom): 416

***

Below is crystalline Tb7Dy12Cd at its relaxed geometry, with properties calculated at the PBE-GGA level.

abc: 8.642 8.642 8.642
angles: 86.81 86.81 86.81
Element x y z (fractional)
Dy  0.753  0.258  0.140
Dy  0.615  0.139  0.500
Tb  0.075  0.149  0.396
Tb  0.851  0.604  0.925
Tb  0.149  0.396  0.075
Cd  0.000  0.000  0.000
Dy  0.500  0.385  0.861
Dy  0.247  0.742  0.860
Tb  0.500  0.500  0.500
Tb  0.604  0.925  0.851
Dy  0.861  0.500  0.385
Tb  0.925  0.851  0.604
Dy  0.500  0.615  0.139
Dy  0.140  0.753  0.258
Tb  0.396  0.075  0.149
Dy  0.860  0.247  0.742
Dy  0.258  0.140  0.753
Dy  0.139  0.500  0.615
Dy  0.742  0.860  0.247
Dy  0.385  0.861  0.500

## Properties
D(E_F) (states/eV/cell): 29.1
Symmetry: No. 148
Formation energy from the elements (meV/atom): 186